Entry from Alexandria via LeMat-Bulk: a geometry-optimized NaSi2C structure (PBE).

## Properties
Its symmetry is I-42d, No. 122. The uncorrected formation energy is 579 meV/atom. The magnetization comes out at 0.00 μB/f.u.

Geometry as POSCAR:
```
NaSi2C
1.0
-3.245 3.245 2.623
3.245 -3.245 2.623
3.245 3.245 -2.623
Na Si C
2 4 2
Direct
0.000 0.000 0.000
0.750 0.250 0.500
0.218 0.625 0.093
0.375 0.468 0.593
0.532 0.125 0.907
0.875 0.782 0.407
0.250 0.750 0.500
0.500 0.500 0.000
```